# 1
A plane-wave DFT calculation with GGA-PBE was carried out for a relaxed structure of Tb5PrNdTh2.

Unit cell a=8.9132 b=8.9132 c=9.9520 alpha=116.60 beta=116.60 gamma=90.00
Sites, in units of the cell vectors:
Pr: 0.7500 0.7500 0.5000
Pr: 0.2500 0.2500 0.5000
Th: 0.3813 0.8813 0.0000
Th: 0.8813 0.6187 0.0000
Th: 0.1187 0.3813 0.0000
Th: 0.6187 0.1187 0.0000
Tb: 0.0000 0.0000 0.0000
Tb: 0.4301 0.3425 0.2725
Tb: 0.3425 0.8425 0.2725
Tb: 0.5699 0.6575 0.7275
Tb: 0.1575 0.0699 0.7275
Tb: 0.6575 0.1575 0.7275
Tb: 0.9301 0.4301 0.2725
Tb: 0.5000 0.5000 0.0000
Tb: 0.0699 0.5699 0.7275
Tb: 0.8425 0.9301 0.2725
Nd: 0.2500 0.7500 0.5000
Nd: 0.7500 0.2500 0.5000

Values from the calculation:
space group	I4/mcm (140)
magnetization	0.0	μB/cell
energy of formation	0.313	eV/atom
volume	33.99	A^3/atom


# 2
A plane-wave DFT calculation with GGA-PBE was carried out for a relaxed structure of TbPrNdTh.

Unit cell a=5.7677 b=5.7677 c=5.7677 alpha=60.00 beta=60.00 gamma=60.00
Sites, in units of the cell vectors:
Pr: 0.0000 0.0000 0.0000
Tb: 0.2500 0.2500 0.2500
Th: 0.7500 0.7500 0.7500
Nd: 0.5000 0.5000 0.5000

Values from the calculation:
offset from the most stable computed form	188	meV/atom
space group	F-43m (216)
magnetization	0.0	μB/cell
energy of formation	0.208	eV/atom
volume	33.92	A^3/atom


# 3
A plane-wave DFT calculation with GGA-PBE was carried out for a relaxed structure of TbPr4Nd2Th.

Unit cell a=6.1573 b=6.1400 c=9.5710 alpha=50.26 beta=90.00 gamma=90.00
Sites, in units of the cell vectors:
Pr: 0.0000 0.7436 0.7562
Pr: 0.5000 0.7559 0.2439
Pr: 0.5000 0.2441 0.7561
Pr: 0.0000 0.2564 0.2438
Nd: 0.0000 0.0000 0.0000
Nd: 0.5000 0.0000 0.5000
Tb: 0.0000 0.5000 0.5000
Th: 0.5000 0.5000 0.0000

Values from the calculation:
space group	P2/m (10)
magnetization	0.0	μB/cell
energy of formation	0.130	eV/atom
volume	34.78	A^3/atom


no.,VASP energy (eV per atom)
1,-4.969
2,-5.191
3,-4.958